Below is crystalline Cu3ReGe at its relaxed geometry, with properties calculated at the PBE level.

The total magnetization comes out at 2.41 μB per formula unit. The calculation puts the calculated formation energy at 1336 meV per atom. The total energy comes out at -4.535 eV/atom.

The space group is Pm-3m (No. 221) and the conventional cell measures 4.351, 4.351 and 4.351 Å, with angles of 90.00, 90.00 and 90.00 degrees. The distinct sites, in fractional coordinates, are Cu at (0.000, 0.000, 0.500), Re at (0.500, 0.500, 0.500) and Ge at (0.000, 0.000, 0.000).